Here is a relaxed LiMnS2N crystal from Alexandria via LeMat-Bulk. Energies are from GGA-PBEsol.

- Density: 3.1 Mg/m³
- Formation energy from raw total energies: -0.158 eV/atom

Cell lengths 4.6576, 4.6576, 3.4088 Å; angles 90.00, 90.00, 90.00 degrees
Element x y z (fractional)
Li1 0.0000 0.0000 0.0000
Mn1 0.5000 0.5000 0.5000
S1 0.0000 0.5000 0.5000
S2 0.5000 0.0000 0.5000
N1 0.5000 0.5000 0.0000